An optimized crystal structure of Na2PCl5O. Source: Alexandria, functional PBE.

Summary:
E_form (uncorrected): -965 kJ/mol of formula units

```
data_Na2PCl5O
_symmetry_space_group_name_H-M 'I 4 m m'
_symmetry_Int_Tables_number 107
_symmetry_space_group_name_Hall 'I 4 -2'
_cell_length_a 6.722
_cell_length_b 6.722
_cell_length_c 8.824
_cell_angle_alpha 90.00
_cell_angle_beta 90.00
_cell_angle_gamma 90.00
loop_
_atom_site_label
_atom_site_type_symbol
_atom_site_fract_x
_atom_site_fract_y
_atom_site_fract_z
_atom_site_occupancy
Na1 Na 0.000 0.500 0.000 1
P1 P 0.000 0.000 0.272 1
Cl1 Cl 0.000 0.000 0.017 1
Cl2 Cl 0.238 0.238 0.245 1
O1 O 0.000 0.000 0.442 1
```